(1)
The following is a PBE calculation of a geometry-optimized NaAcPm2S4 structure, from Alexandria via LeMat-Bulk.

The space group is P2/m (No. 10) and the conventional cell measures 7.063, 4.103 and 7.267 Å, with angles of 90.00, 108.97 and 90.00 degrees. The asymmetric unit holds Na at (0.000, 0.000, 0.000), Ac at (0.500, 0.500, 0.000), Pm at (0.000, 0.500, 0.500), Pm at (0.500, 0.000, 0.500), S at (0.240, 0.000, 0.738) and S at (0.252, 0.500, 0.263).

The raw formation energy comes out at -1.92 eV per atom. The total energy comes out at -5.85 eV/atom. The value obtained for the total magnetization is 0.00 μB/atom. Its volume is 199.2 Å³/cell. The mass density is 5.57 g cm⁻³.

(2)
The following is a PBE calculation of a geometry-optimized NaAcPmSb structure, from Alexandria via LeMat-Bulk.

The space group is F-43m (No. 216) and the conventional cell measures 7.957, 7.957 and 7.957 Å, with angles of 90.00, 90.00 and 90.00 degrees. The asymmetric unit holds Na at (0.000, 0.000, 0.000), Ac at (0.250, 0.250, 0.250), Pm at (0.250, 0.250, 0.750) and Sb at (0.000, 0.000, 0.500).

The raw formation energy comes out at -0.33 eV per atom. The total energy comes out at -3.91 eV/atom. The value obtained for the total magnetization is 0.00 μB/atom. Its volume is 503.7 Å³/cell. The mass density is 6.81 g cm⁻³.

(3)
The following is a PBE calculation of a geometry-optimized NaAc3Pm2Se6 structure, from Alexandria via LeMat-Bulk.

The space group is C2/m (No. 12) and the conventional cell measures 7.540, 13.089 and 7.478 Å, with angles of 90.00, 109.73 and 90.00 degrees. The asymmetric unit holds Na at (0.000, 0.000, 0.000), Ac at (0.000, 0.165, 0.500), Ac at (0.000, 0.500, 0.500), Pm at (0.000, 0.334, 0.000), Se at (0.244, 0.166, 0.234) and Se at (0.245, 0.500, 0.230).

The raw formation energy comes out at -1.80 eV per atom. The total energy comes out at -5.47 eV/atom. The value obtained for the total magnetization is 0.00 μB/atom. Its volume is 694.6 Å³/cell. The mass density is 7.02 g cm⁻³.

(4)
The following is a PBE calculation of a geometry-optimized Na2AcPmSe4 structure, from Alexandria via LeMat-Bulk.

The space group is P2/m (No. 10) and the conventional cell measures 7.457, 4.387 and 7.612 Å, with angles of 90.00, 109.90 and 90.00 degrees. The asymmetric unit holds Na at (0.000, 0.000, 0.000), Na at (0.000, 0.500, 0.500), Ac at (0.500, 0.000, 0.500), Pm at (0.500, 0.500, 0.000), Se at (0.258, 0.500, 0.240) and Se at (0.264, 0.000, 0.765).

The raw formation energy comes out at -1.70 eV per atom. The total energy comes out at -4.88 eV/atom. The value obtained for the total magnetization is 0.00 μB/atom. Its volume is 234.1 Å³/cell. The mass density is 5.20 g cm⁻³.

Question: Which of these has the lowest mass density?
Answer: Na2AcPmSe4